Record 1
# Nd2Ho3Au4 | Alexandria via LeMat-Bulk | PBE-GGA | optimized geometry
data_Nd2Ho3Au4
_chemical_formula_sum 'Nd4 Ho6 Au8'
_cell_length_a 9.518
_cell_length_b 9.518
_cell_length_c 7.564
_cell_angle_alpha 90.00
_cell_angle_beta 90.00
_cell_angle_gamma 136.48
_space_group_name_H-M_alt 'P 1'
_space_group_IT_number 1
_space_group_name_Hall 'P 1'
loop_
_atom_site_label
_atom_site_fract_x
_atom_site_fract_y
_atom_site_fract_z
Nd1 0.096 0.904 0.919
Nd2 0.404 0.596 0.419
Nd3 0.596 0.404 0.581
Nd4 0.904 0.096 0.081
Ho1 0.000 0.000 0.500
Ho2 0.014 0.486 0.750
Ho3 0.486 0.014 0.250
Ho4 0.500 0.500 0.000
Ho5 0.514 0.986 0.750
Ho6 0.986 0.514 0.250
Au1 0.169 0.831 0.531
Au2 0.184 0.316 0.750
Au3 0.316 0.184 0.250
Au4 0.331 0.669 0.031
Au5 0.669 0.331 0.969
Au6 0.684 0.816 0.750
Au7 0.816 0.684 0.250
Au8 0.831 0.169 0.469
# - Symmetry: Cmce, No. 64
# - Mass density: 11.06 g/cm³
# - Energy relative to the elements: -0.678 eV per atom

---

Record 2
# NdHoAu4 | Alexandria via LeMat-Bulk | PBE-GGA | optimized geometry
data_NdHoAu4
_chemical_formula_sum 'Nd1 Ho1 Au4'
_cell_length_a 3.790
_cell_length_b 5.290
_cell_length_c 7.606
_cell_angle_alpha 69.97
_cell_angle_beta 75.67
_cell_angle_gamma 69.16
_space_group_name_H-M_alt 'P 1'
_space_group_IT_number 1
_space_group_name_Hall 'P 1'
loop_
_atom_site_label
_atom_site_fract_x
_atom_site_fract_y
_atom_site_fract_z
Nd1 0.000 0.000 0.000
Ho1 0.000 0.500 0.500
Au1 0.334 0.993 0.341
Au2 0.339 0.507 0.818
Au3 0.661 0.493 0.182
Au4 0.666 0.007 0.659
# - Symmetry: P-1, No. 2
# - Mass density: 13.74 g/cm³
# - Energy relative to the elements: -0.816 eV per atom

---

Record 3
# Nd2HoAu4 | Alexandria via LeMat-Bulk | PBE-GGA | optimized geometry
data_Nd2HoAu4
_chemical_formula_sum 'Nd2 Ho1 Au4'
_cell_length_a 8.453
_cell_length_b 8.453
_cell_length_c 8.453
_cell_angle_alpha 143.40
_cell_angle_beta 143.40
_cell_angle_gamma 52.73
_space_group_name_H-M_alt 'P 1'
_space_group_IT_number 1
_space_group_name_Hall 'P 1'
loop_
_atom_site_label
_atom_site_fract_x
_atom_site_fract_y
_atom_site_fract_z
Nd1 0.121 0.121 0.000
Nd2 0.879 0.879 0.000
Ho1 0.500 0.500 0.000
Au1 0.000 0.500 0.500
Au2 0.315 0.315 0.000
Au3 0.500 0.000 0.500
Au4 0.685 0.685 0.000
# - Symmetry: I4/mmm, No. 139
# - Mass density: 9.66 g/cm³
# - Energy relative to the elements: -0.323 eV per atom

---

Record 4
# NdHoAu4 | Alexandria via LeMat-Bulk | PBE-GGA | optimized geometry
data_NdHoAu4
_chemical_formula_sum 'Nd1 Ho1 Au4'
_cell_length_a 3.796
_cell_length_b 3.796
_cell_length_c 9.186
_cell_angle_alpha 90.00
_cell_angle_beta 90.00
_cell_angle_gamma 90.00
_space_group_name_H-M_alt 'P 1'
_space_group_IT_number 1
_space_group_name_Hall 'P 1'
loop_
_atom_site_label
_atom_site_fract_x
_atom_site_fract_y
_atom_site_fract_z
Nd1 0.000 0.000 0.000
Ho1 0.500 0.500 0.500
Au1 0.000 0.000 0.340
Au2 0.000 0.000 0.660
Au3 0.500 0.500 0.173
Au4 0.500 0.500 0.827
# - Symmetry: P4/mmm, No. 123
# - Mass density: 13.76 g/cm³
# - Energy relative to the elements: -0.815 eV per atom

---

What is the energy relative to the elements in the second record? -0.816 eV per atom

---

energy relative to the elements of number 3 (Nd2HoAu4)? -0.323 eV per atom